Density functional theory data (PBE) for a relaxed PmMo2N4 crystal.

Properties
**Symmetry**: Cmcm
**Formation energy from raw total energies**: -660.6 meV per atom

Cell lengths 5.2284, 5.2284, 10.0547 Å; angles 90.00, 90.00, 143.05 degrees
Fractional coordinates of all 14 atoms:
Pm1 0.1222 0.8778 0.7500
Pm2 0.8778 0.1222 0.2500
Mo1 0.3823 0.6177 0.5572
Mo2 0.3823 0.6177 0.9428
Mo3 0.6177 0.3823 0.0572
Mo4 0.6177 0.3823 0.4428
N1 0.0000 0.0000 0.0000
N2 0.0000 0.0000 0.5000
N3 0.2619 0.7381 0.1052
N4 0.2619 0.7381 0.3948
N5 0.4294 0.5706 0.7500
N6 0.5706 0.4294 0.2500
N7 0.7381 0.2619 0.6052
N8 0.7381 0.2619 0.8948